8
Lattice="2.6336 1.5205 8.7084 -2.6336 1.5205 8.7084 0.0000 -3.0411 8.7084" Properties=species:S:1:pos:R:3 comment="LiPr2HoHg4, optimized geometry, DFT PBE-GGA" spacegroup="R-3m (166)" density_g_cm3=9.97 total_energy_ev_per_atom=-2.610 pbc="T T T"
Li 0.0000 0.0000 0.0000
Pr 0.0000 0.0000 6.6443
Pr 0.0000 0.0000 19.4810
Ho 0.0000 0.0000 13.0626
Hg 0.0000 0.0000 3.3107
Hg 0.0000 0.0000 9.8024
Hg 0.0000 0.0000 16.3229
Hg 0.0000 0.0000 22.8145

---

16
Lattice="7.5238 0.0000 0.0000 0.0000 7.5238 0.0000 0.0000 0.0000 7.5238" Properties=species:S:1:pos:R:3 comment="LiPrHoHg, optimized geometry, DFT PBE-GGA" spacegroup="F-43m (216)" density_g_cm3=8.01 total_energy_ev_per_atom=-3.092 pbc="T T T"
Li 0.0000 0.0000 0.0000
Li 0.0000 3.7619 3.7619
Li 3.7619 0.0000 3.7619
Li 3.7619 3.7619 0.0000
Pr 1.8810 1.8810 1.8810
Pr 1.8810 5.6429 5.6429
Pr 5.6429 1.8810 5.6429
Pr 5.6429 5.6429 1.8810
Ho 1.8810 1.8810 5.6429
Ho 1.8810 5.6429 1.8810
Ho 5.6429 1.8810 1.8810
Ho 5.6429 5.6429 5.6429
Hg 0.0000 0.0000 3.7619
Hg 0.0000 3.7619 0.0000
Hg 3.7619 0.0000 0.0000
Hg 3.7619 3.7619 3.7619

---

8
Lattice="2.5613 1.4788 8.8457 -2.5613 1.4788 8.8457 0.0000 -2.9576 8.8457" Properties=species:S:1:pos:R:3 comment="LiPrHo2Hg4, optimized geometry, DFT PBE-GGA" spacegroup="R-3m (166)" density_g_cm3=10.57 total_energy_ev_per_atom=-2.570 pbc="T T T"
Li 0.0000 0.0000 0.0000
Pr 0.0000 0.0000 13.2685
Ho 0.0000 0.0000 6.8338
Ho 0.0000 0.0000 19.7032
Hg 0.0000 0.0000 3.0509
Hg 0.0000 0.0000 9.8827
Hg 0.0000 0.0000 16.6543
Hg 0.0000 0.0000 23.4862

---

8
Lattice="2.5788 1.4888 8.5132 -2.5788 1.4888 8.5132 0.0000 -2.9777 8.5132" Properties=species:S:1:pos:R:3 comment="LiHo2PuHg4, optimized geometry, DFT PBE-GGA" spacegroup="R-3m (166)" density_g_cm3=11.71 total_energy_ev_per_atom=-3.666 pbc="T T T"
Li 0.0000 0.0000 0.0000
Ho 0.0000 0.0000 6.4422
Ho 0.0000 0.0000 19.0973
Pu 0.0000 0.0000 12.7697
Hg 0.0000 0.0000 3.0338
Hg 0.0000 0.0000 9.5154
Hg 0.0000 0.0000 16.0241
Hg 0.0000 0.0000 22.5056